Here is a relaxed AgPbBr2 crystal from Alexandria via LeMat-Bulk. Energies are from PBE. Values from VASP.

## Properties
Energy above the most stable polymorph in this dataset in meV per atom: 110.2
E_form (uncorrected) in meV/atom: -238
DOS at the Fermi energy in states/eV/f.u.: 1.477
Total magnetization in μB per atom: 0.00
Final energy in eV/f.u.: -10.859

```
&SYSTEM
  ibrav = 0, nat = 4, ntyp = 3
/
ATOMIC_SPECIES
Pb 207.20 Pb.upf
Ag 107.87 Ag.upf
Br 79.90 Br.upf
CELL_PARAMETERS angstrom
-3.766 -0.090 3.794
-0.190 3.883 3.671
-3.975 3.575 -0.093
ATOMIC_POSITIONS crystal
Pb 0.500 0.500 0.500
Ag 0.000 0.000 0.000
Br 0.750 0.750 0.750
Br 0.250 0.250 0.250
```

Here is a relaxed AgPb3Br crystal from Alexandria via LeMat-Bulk. Energies are from PBE. Values from VASP.

## Properties
Energy above the most stable polymorph in this dataset in meV per atom: 0.0
E_form (uncorrected) in meV/atom: 229
DOS at the Fermi energy in states/eV/f.u.: 7.283
Total magnetization in μB per atom: 0.00
Final energy in eV/f.u.: -14.503

```
&SYSTEM
  ibrav = 0, nat = 5, ntyp = 3
/
ATOMIC_SPECIES
Ag 107.87 Ag.upf
Pb 207.20 Pb.upf
Br 79.90 Br.upf
CELL_PARAMETERS angstrom
-3.231 -3.744 2.623
0.227 -3.340 -4.487
4.566 -2.483 2.079
ATOMIC_POSITIONS crystal
Ag 0.000 0.000 0.000
Pb 0.000 0.000 0.500
Pb 0.000 0.500 0.000
Pb 0.500 0.000 0.000
Br 0.500 0.500 0.500
```

Here is a relaxed Ag3PbBr crystal from Alexandria via LeMat-Bulk. Energies are from PBE. Values from VASP.

## Properties
Energy above the most stable polymorph in this dataset in meV per atom: 0.0
E_form (uncorrected) in meV/atom: 585
DOS at the Fermi energy in states/eV/f.u.: 2.836
Total magnetization in μB per atom: 0.00
Final energy in eV/f.u.: -11.012

```
&SYSTEM
  ibrav = 0, nat = 5, ntyp = 3
/
ATOMIC_SPECIES
Pb 207.20 Pb.upf
Br 79.90 Br.upf
Ag 107.87 Ag.upf
CELL_PARAMETERS angstrom
-2.705 -2.311 3.849
-3.180 -2.186 -3.547
3.169 -4.166 -0.274
ATOMIC_POSITIONS crystal
Pb 0.500 0.500 0.500
Br 0.000 0.000 0.000
Ag 0.500 0.000 0.000
Ag 0.000 0.000 0.500
Ag 0.000 0.500 0.000
```